a:
The following is a DFT calculation (PBE-GGA) of crystalline H2PdS at its relaxed geometry.

Results
ρ in kg/m³: 6188
SG: Fm-3m
Crystal system: cubic

CIF file:
```
data_H2PdS
_chemical_formula_sum 'H2 Pd1 S1'
_cell_length_a 3.764
_cell_length_b 3.764
_cell_length_c 3.764
_cell_angle_alpha 60.00
_cell_angle_beta 60.00
_cell_angle_gamma 60.00
_symmetry_space_group_name_H-M 'P 1'
_symmetry_Int_Tables_number 1
loop_
_symmetry_equiv_pos_as_xyz
'x,y,z'
loop_
_atom_site_label
_atom_site_type_symbol
_atom_site_fract_x
_atom_site_fract_y
_atom_site_fract_z
H1 H 0.750 0.750 0.750
H2 H 0.250 0.250 0.250
Pd1 Pd 0.500 0.500 0.500
S1 S 0.000 0.000 0.000
```


b:
The following is a DFT calculation (PBE-GGA) of crystalline H2PdS at its relaxed geometry.

Results
ρ in kg/m³: 5632
SG: R-3m
Crystal system: trigonal

CIF file:
```
data_H2PdS
_chemical_formula_sum 'H2 Pd1 S1'
_cell_length_a 3.374
_cell_length_b 3.374
_cell_length_c 4.631
_cell_angle_alpha 68.63
_cell_angle_beta 68.63
_cell_angle_gamma 60.00
_symmetry_space_group_name_H-M 'P 1'
_symmetry_Int_Tables_number 1
loop_
_symmetry_equiv_pos_as_xyz
'x,y,z'
loop_
_atom_site_label
_atom_site_type_symbol
_atom_site_fract_x
_atom_site_fract_y
_atom_site_fract_z
S1 S 0.500 0.500 0.500
Pd1 Pd 0.000 0.000 0.000
H1 H 0.135 0.135 0.595
H2 H 0.865 0.865 0.405
```


c:
The following is a DFT calculation (PBE-GGA) of crystalline H2PdS at its relaxed geometry.

Results
ρ in kg/m³: 5851
SG: I-42d
Crystal system: tetragonal

CIF file:
```
data_H2PdS
_chemical_formula_sum 'H4 Pd2 S2'
_cell_length_a 3.691
_cell_length_b 3.691
_cell_length_c 6.410
_cell_angle_alpha 73.27
_cell_angle_beta 73.27
_cell_angle_gamma 90.00
_symmetry_space_group_name_H-M 'P 1'
_symmetry_Int_Tables_number 1
loop_
_symmetry_equiv_pos_as_xyz
'x,y,z'
loop_
_atom_site_label
_atom_site_type_symbol
_atom_site_fract_x
_atom_site_fract_y
_atom_site_fract_z
H1 H 0.642 0.125 0.250
H2 H 0.108 0.625 0.250
S1 S 0.250 0.750 0.500
H3 H 0.375 0.358 0.750
Pd1 Pd 0.000 0.000 0.000
Pd2 Pd 0.750 0.250 0.500
H4 H 0.875 0.892 0.750
S2 S 0.500 0.500 0.000
```


Stability summary - winner: c; margin: 129 meV per atom.


a:
The following is a DFT calculation (PBE-GGA) of crystalline HPdS2 at its relaxed geometry.

Results
ρ in kg/m³: 5466
SG: R-3m
Crystal system: trigonal

CIF file:
```
data_HPdS2
_chemical_formula_sum 'H1 Pd1 S2'
_cell_length_a 7.396
_cell_length_b 7.396
_cell_length_c 7.396
_cell_angle_alpha 22.53
_cell_angle_beta 22.53
_cell_angle_gamma 22.53
_symmetry_space_group_name_H-M 'P 1'
_symmetry_Int_Tables_number 1
loop_
_symmetry_equiv_pos_as_xyz
'x,y,z'
loop_
_atom_site_label
_atom_site_type_symbol
_atom_site_fract_x
_atom_site_fract_y
_atom_site_fract_z
S1 S 0.105 0.105 0.105
Pd1 Pd 0.000 0.000 0.000
H1 H 0.500 0.500 0.500
S2 S 0.895 0.895 0.895
```


b:
The following is a DFT calculation (PBE-GGA) of crystalline HPdS2 at its relaxed geometry.

Results
ρ in kg/m³: 4809
SG: I-42d
Crystal system: tetragonal

CIF file:
```
data_HPdS2
_chemical_formula_sum 'H2 Pd2 S4'
_cell_length_a 5.189
_cell_length_b 5.189
_cell_length_c 5.730
_cell_angle_alpha 63.08
_cell_angle_beta 63.08
_cell_angle_gamma 90.00
_symmetry_space_group_name_H-M 'P 1'
_symmetry_Int_Tables_number 1
loop_
_symmetry_equiv_pos_as_xyz
'x,y,z'
loop_
_atom_site_label
_atom_site_type_symbol
_atom_site_fract_x
_atom_site_fract_y
_atom_site_fract_z
Pd1 Pd 0.750 0.250 0.500
H1 H 0.500 0.500 0.000
Pd2 Pd 0.000 0.000 0.000
S1 S 0.875 0.819 0.750
H2 H 0.250 0.750 0.500
S2 S 0.569 0.125 0.250
S3 S 0.375 0.431 0.750
S4 S 0.181 0.625 0.250
```


Stability summary - winner: b; margin: 285 meV per atom.